Record 1
A relaxed CsRbSb crystal, computed with PBE.

Output
The value obtained for the energy above the lowest structure with this stoichiometry is 0.098 eV/atom.

Cell: 6.235 6.235 3.730 Å, 90.00 90.00 120.00°
Element x y z (fractional)
Cs (0.000, 0.000, 0.000)
Rb (0.333, 0.667, 0.962)
Sb (0.667, 0.333, 0.485)

Record 2
A relaxed TlCr3As crystal, computed with PBE.

Output
As for the formation energy: 1.568 eV/atom. The value obtained for the energy above the lowest structure with this stoichiometry is 0.842 eV/atom.

Cell: 5.077 5.077 5.077 Å, 90.00 90.00 90.00°
Element x y z (fractional)
Tl (0.000, 0.000, 0.000)
Cr (0.000, 0.000, 0.500)
Cr (0.000, 0.500, 0.000)
Cr (0.500, 0.000, 0.000)
As (0.500, 0.500, 0.500)

Record 3
A relaxed Pr2MgZn2Pd5 crystal, computed with PBE.

Output
As for the formation energy: -0.643 eV/atom.

Cell: 9.978 9.978 3.809 Å, 90.00 90.00 90.00°
Element x y z (fractional)
Pr (0.178, 0.322, 0.000)
Pr (0.322, 0.822, 0.000)
Pr (0.678, 0.178, 0.000)
Pr (0.822, 0.678, 0.000)
Mg (0.000, 0.000, 0.000)
Mg (0.500, 0.500, 0.000)
Zn (0.119, 0.619, 0.000)
Zn (0.381, 0.119, 0.000)
Zn (0.619, 0.881, 0.000)
Zn (0.881, 0.381, 0.000)
Pd (0.000, 0.500, 0.500)
Pd (0.064, 0.792, 0.500)
Pd (0.208, 0.064, 0.500)
Pd (0.292, 0.564, 0.500)
Pd (0.436, 0.292, 0.500)
Pd (0.500, 0.000, 0.500)
Pd (0.564, 0.708, 0.500)
Pd (0.708, 0.436, 0.500)
Pd (0.792, 0.936, 0.500)
Pd (0.936, 0.208, 0.500)

Record 4
A relaxed Ta2ReMo crystal, computed with PBE.

Output
As for the formation energy: -0.198 eV/atom. The value obtained for the energy above the lowest structure with this stoichiometry is 0.150 eV/atom.

Cell: 3.215 4.480 4.615 Å, 90.00 90.00 90.00°
Element x y z (fractional)
Ta (0.000, 0.000, 0.000)
Ta (0.500, 0.000, 0.500)
Re (0.000, 0.500, 0.500)
Mo (0.500, 0.500, 0.000)

Question: Number 2 is which compound?
Answer: TlCr3As

Copy entry 1 word for word.
A relaxed CsRbSb crystal, computed with PBE.

Output
The value obtained for the energy above the lowest structure with this stoichiometry is 0.098 eV/atom.

Cell: 6.235 6.235 3.730 Å, 90.00 90.00 120.00°
Element x y z (fractional)
Cs (0.000, 0.000, 0.000)
Rb (0.333, 0.667, 0.962)
Sb (0.667, 0.333, 0.485)